# 1
A relaxed Ac3Ge2Pd7 crystal. Source: the Alexandria database, functional PBE-GGA.

D(E_F) ... 6.36 states/eV/f.u.
Density ... 9.53 g/cm3
Energy above the lowest structure with this stoichiometry ... 0.116 eV/atom
Energy of formation from the pure elements ... -7.553 eV per formula unit
Calculated total energy ... -130.926 eV for the cell shown
Spin magnetization ... 0.000 μB/f.u.

Cell lengths 4.4822, 29.0902, 4.1999 Å; angles 90.00, 90.00, 90.00 degrees
Last column: nearest neighbours and their distance in Å.
Space group Cmmm (No. 65)
One atom of each set of equivalent atoms:
Ac: 0.0000 0.0000 0.0000 [2 per cell]  4 Pd 3.07
Ac: 0.0000 0.1983 0.0000 [4 per cell]  8 Pd 3.04-3.08
Ge: 0.0000 0.4169 0.5000 [4 per cell]  5 Pd 2.42-2.50
Pd: 0.0000 0.1216 0.5000 [4 per cell]  2 Ge 2.50
Pd: 0.0000 0.2947 0.5000 [4 per cell]  4 Ac 3.08, 6 Pd 3.08-3.43
Pd: 0.0000 0.3722 0.0000 [4 per cell]  2 Ge 2.47
Pd: 0.0000 0.5000 0.5000 [2 per cell]  2 Ge 2.42

# 2
A relaxed Ac2NiSn6 crystal. Source: the Alexandria database, functional PBE-GGA.

D(E_F) ... 5.33 states/eV/f.u.
Density ... 8.25 g/cm3
Energy above the lowest structure with this stoichiometry ... 0.042 eV/atom
Energy of formation from the pure elements ... -4.043 eV per formula unit
Calculated total energy ... -42.058 eV for the cell shown
Spin magnetization ... 0.000 μB/f.u.

Cell lengths 6.9507, 6.9507, 5.8931 Å; angles 90.00, 90.00, 120.00 degrees
Last column: nearest neighbours and their distance in Å.
Space group P-3m1 (No. 164)
One atom of each set of equivalent atoms:
Ac: 0.3333 0.6667 0.3020 [2 per cell]  12 Sn 3.51-3.61
Ni: 0.0000 0.0000 0.5000 [1 per cell]  6 Sn 2.65
Sn: 0.1672 0.3344 0.7919 [6 per cell]  1 Ni 2.65

# 3
A relaxed HfZnP2Rh crystal. Source: the Alexandria database, functional PBE-GGA.

D(E_F) ... 6.00 states/eV/f.u.
Density ... 7.14 g/cm3
Energy of formation from the pure elements ... 1.928 eV per formula unit
Calculated total energy ... -27.470 eV for the cell shown
Spin magnetization ... 0.000 μB/f.u.

Cell lengths 4.5710, 4.5710, 4.5512 Å; angles 90.00, 90.00, 90.00 degrees
Last column: nearest neighbours and their distance in Å.
Space group P4/mmm (No. 123)
One atom of each set of equivalent atoms:
Hf: 0.0000 0.0000 0.0000 [1 per cell]  8 P 3.23, 4 Zn 3.23
Zn: 0.5000 0.5000 0.0000 [1 per cell]  2 Rh 2.28
P: 0.0000 0.5000 0.5000 [2 per cell]  2 Rh 2.29
Rh: 0.5000 0.5000 0.5000 [1 per cell]  2 Zn 2.28, 4 P 2.29

- What is the spin magnetization in the first record?
  0.000 μB/f.u.